(1)
K2TlPbI5 after structural relaxation, computed with PBE.

Lattice parameters (Å, degrees): 4.8500 21.1743 16.7651 90.00 90.00 90.00
Closest atoms and distances in Å follow each position.
Space group Cmc2_1 (No. 36)
One atom of each set of equivalent atoms:
K 0.0000 0.0655 0.0000 (multiplicity 4)  6 I 3.48-3.68
K 0.0000 0.1175 0.6698 (multiplicity 4)  6 I 3.56-3.87
Tl 0.0000 0.4306 0.8085 (multiplicity 4)  5 I 3.40-3.64
Pb 0.0000 0.2516 0.3999 (multiplicity 4)  6 I 3.25-3.32
I 0.0000 0.1025 0.4446 (multiplicity 4)  1 Pb 3.25, 2 Tl 3.40
I 0.0000 0.2311 0.0297 (multiplicity 4)  2 Pb 3.28, 1 K 3.54
I 0.0000 0.2696 0.7671 (multiplicity 4)  2 Pb 3.32, 1 Tl 3.48, 1 K 3.61
I 0.0000 0.4006 0.3480 (multiplicity 4)  1 Pb 3.27, 2 K 3.59, 1 Tl 3.64
I 0.0000 0.4997 0.1234 (multiplicity 4)  1 Tl 3.44, 4 K 3.48-3.56

* N(E_F): 0.0 states/eV per cell
* E_form (uncorrected): -0.9939 eV/atom

(2)
K2TlPbI4 after structural relaxation, computed with PBE.

Lattice parameters (Å, degrees): 7.1098 7.1098 14.0237 90.00 90.00 90.00
Closest atoms and distances in Å follow each position.
Space group I-4m2 (No. 119)
One atom of each set of equivalent atoms:
K 0.0000 0.0000 0.0000 (multiplicity 2)  6 I 3.55-3.66
K 0.0000 0.5000 0.2500 (multiplicity 2)  6 I 3.51-3.56
Tl 0.0000 0.5000 0.7500 (multiplicity 2)  6 I 3.50-3.56
Pb 0.0000 0.0000 0.5000 (multiplicity 2)  6 I 3.35-3.55
I 0.0000 0.0000 0.2613 (multiplicity 4)  1 Pb 3.35, 2 Tl 3.56, 3 K 3.56-3.66
I 0.0000 0.5000 0.9998 (multiplicity 4)  1 Tl 3.50, 3 K 3.51-3.55, 2 Pb 3.55

* N(E_F): 3.6 states/eV per cell
* E_form (uncorrected): -0.8987 eV/atom

(3)
KUPbI6 after structural relaxation, computed with PBE.

Lattice parameters (Å, degrees): 8.2219 8.2219 15.4251 90.00 90.00 120.00
Closest atoms and distances in Å follow each position.
Space group P-31c (No. 163)
One atom of each set of equivalent atoms:
K 0.0000 0.0000 0.0000 (multiplicity 2)  6 I 3.61
U 0.3333 0.6667 0.2500 (multiplicity 2)  6 I 3.14
Pb 0.3333 0.6667 0.7500 (multiplicity 2)  6 I 3.26
I 0.0113 0.3674 0.1322 (multiplicity 12)  1 U 3.14, 1 Pb 3.26

* E_form (uncorrected): -0.9074 eV/atom

(4)
KPdI after structural relaxation, computed with PBE.

Lattice parameters (Å, degrees): 4.7010 4.7010 9.6715 90.00 90.00 120.00
Closest atoms and distances in Å follow each position.
Space group P6_3/mmc (No. 194)
One atom of each set of equivalent atoms:
K 0.0000 0.0000 0.0000 (multiplicity 2)  6 I 3.63, 6 Pd 3.63
Pd 0.3333 0.6667 0.2500 (multiplicity 2)  3 I 2.71
I 0.3333 0.6667 0.7500 (multiplicity 2)  3 Pd 2.71

* N(E_F): 0.0 states/eV per cell
* energy above the most stable polymorph in this dataset: 67.1 meV per atom
* E_form (uncorrected): -0.5950 eV/atom

(5)
KPdI after structural relaxation, computed with PBE.

Lattice parameters (Å, degrees): 4.9364 6.6592 6.6879 93.98 107.09 106.02
Closest atoms and distances in Å follow each position.
Space group P-1 (No. 2)
One atom of each set of equivalent atoms:
K 0.0070 0.2882 0.2136 (multiplicity 2)  4 Pd 3.49-3.63, 4 I 3.56-3.73
Pd 0.2453 0.8571 0.3594 (multiplicity 2)  2 I 2.62-2.64, 1 Pd 2.75
I 0.3411 0.2494 0.7531 (multiplicity 2)  2 Pd 2.62-2.64

* N(E_F): 0.0 states/eV per cell
* energy above the most stable polymorph in this dataset: 85.9 meV per atom
* E_form (uncorrected): -0.5761 eV/atom

(6)
KPd2I8 after structural relaxation, computed with PBE.

Lattice parameters (Å, degrees): 8.3106 16.8850 5.9696 90.00 93.28 90.00
Closest atoms and distances in Å follow each position.
Space group C2/m (No. 12)
One atom of each set of equivalent atoms:
K 0.0000 0.0000 0.0000 (multiplicity 2)  2 I 3.50
Pd 0.0000 0.2546 0.5000 (multiplicity 4)  6 I 2.71-3.00
I 0.0000 0.2390 0.0000 (multiplicity 4)  2 Pd 3.00
I 0.0935 0.5000 0.8086 (multiplicity 4)  1 I 2.84
I 0.2360 0.1440 0.5104 (multiplicity 8)  2 Pd 2.71-2.79

* N(E_F): 16.7 states/eV per cell
* E_form (uncorrected): -0.2390 eV/atom